Computed, not measured: crystalline BiOs3I at its relaxed geometry at the GGA-PBEsol level of DFT.

Theoretical density   13.57 g/cm³
Raw formation energy   2.57 eV/atom
Magnetic moment   0.00 μB/cell

```
BiOs3I
1.0
-4.748 0.239 -0.700
0.074 -4.371 -1.995
-0.736 -1.982 4.316
I Os Bi
1 3 1
Cartesian
0.000 0.000 0.000
0.037 -2.186 -0.997
-0.368 -0.991 2.158
-2.374 0.120 -0.350
-2.705 -3.057 0.811
```

---

Computed, not measured: crystalline Bi2OsI at its relaxed geometry at the GGA-PBEsol level of DFT.

Theoretical density   8.09 g/cm³
Raw formation energy   0.72 eV/atom
Magnetic moment   0.00 μB/cell

```
Bi2OsI
1.0
6.875 0.000 0.000
0.000 6.875 0.000
-3.438 -3.438 6.385
I Os Bi
2 2 4
Cartesian
3.438 0.000 3.192
3.438 3.438 0.000
0.000 3.438 3.192
0.000 0.000 0.000
1.023 5.156 1.596
5.852 1.719 1.596
-1.719 -2.414 4.789
1.719 2.414 4.789
```

---

Computed, not measured: crystalline SiBi2OsI at its relaxed geometry at the GGA-PBEsol level of DFT.

Theoretical density   9.31 g/cm³
Raw formation energy   0.96 eV/atom
Magnetic moment   0.77 μB/cell

```
SiBi2OsI
1.0
-2.235 -3.832 -0.564
1.537 -1.638 5.039
-4.525 2.325 2.136
I Si Os Bi
1 1 1 2
Cartesian
-2.612 -1.572 3.306
0.000 0.000 0.000
-1.118 -1.916 -0.282
-2.262 1.163 1.068
0.768 -0.819 2.520
```

---

Computed, not measured: crystalline BiTeOsI2 at its relaxed geometry at the GGA-PBEsol level of DFT.

Theoretical density   6.22 g/cm³
Raw formation energy   1.68 eV/atom
Magnetic moment   5.02 μB/cell

```
BiTeOsI2
1.0
-5.696 1.526 0.545
-1.546 -5.728 -0.117
0.497 -0.255 5.908
I Te Os Bi
2 1 1 1
Cartesian
0.249 -0.127 2.954
-0.773 -2.864 -0.058
-2.848 0.763 0.273
-3.372 -2.228 3.168
0.000 0.000 0.000
```

---

Computed, not measured: crystalline BiSbPI2 at its relaxed geometry at the GGA-PBEsol level of DFT.

Theoretical density   6.81 g/cm³
Raw formation energy   0.40 eV/atom
Magnetic moment   0.00 μB/cell

```
BiSbPI2
1.0
-2.558 -1.706 -4.211
3.742 -3.531 -0.843
-2.726 -3.636 3.129
I Sb Bi P
2 1 1 1
Cartesian
1.871 -1.766 -0.421
-1.279 -0.853 -2.106
-1.363 -1.818 1.564
-0.771 -4.436 -0.963
0.000 0.000 0.000
```

---

Computed, not measured: crystalline Si2BiPI at its relaxed geometry at the GGA-PBEsol level of DFT.

Theoretical density   3.99 g/cm³
Raw formation energy   1.65 eV/atom
Magnetic moment   1.23 μB/cell

```
Si2BiPI
1.0
5.459 0.000 0.000
0.000 5.459 0.000
0.000 0.000 5.901
I P Si Bi
1 1 2 1
Cartesian
0.000 0.000 2.951
2.730 2.730 2.951
0.000 2.730 0.000
2.730 0.000 0.000
0.000 0.000 0.000
```

---

Computed, not measured: crystalline BiSbPbI2 at its relaxed geometry at the GGA-PBEsol level of DFT.

Theoretical density   6.33 g/cm³
Raw formation energy   0.37 eV/atom
Magnetic moment   0.00 μB/cell

```
BiSbPbI2
1.0
-0.109 -5.845 -0.636
5.088 0.225 -2.939
3.009 -0.618 5.163
Pb I Bi Sb
1 2 1 1
Cartesian
3.994 -3.119 0.794
2.544 0.113 -1.469
-0.055 -2.922 -0.318
0.000 0.000 0.000
1.505 -0.309 2.582
```

---

Computed, not measured: crystalline YBiPb2I at its relaxed geometry at the GGA-PBEsol level of DFT.

Theoretical density   7.08 g/cm³
Raw formation energy   0.29 eV/atom
Magnetic moment   0.00 μB/cell

```
YBiPb2I
1.0
5.514 0.000 0.000
0.000 5.974 0.000
0.000 0.000 5.974
Pb I Y Bi
2 1 1 1
Cartesian
0.000 0.000 2.987
0.000 2.987 0.000
2.757 0.000 0.000
0.000 0.000 0.000
2.757 2.987 2.987
```

---

Computed, not measured: crystalline Bi3PdI at its relaxed geometry at the GGA-PBEsol level of DFT.

Theoretical density   7.38 g/cm³
Raw formation energy   1.38 eV/atom
Magnetic moment   0.00 μB/cell

```
Bi3PdI
1.0
-5.270 -1.532 1.827
-1.814 -0.302 -5.484
1.548 -5.569 -0.205
I Bi Pd
1 3 1
Cartesian
0.000 0.000 0.000
-0.907 -0.151 -2.742
0.774 -2.785 -0.102
-2.635 -0.766 0.914
-2.768 -3.702 -1.931
```

---

Computed, not measured: crystalline BiPdI3 at its relaxed geometry at the GGA-PBEsol level of DFT.

Theoretical density   7.59 g/cm³
Raw formation energy   0.05 eV/atom
Magnetic moment   0.00 μB/cell

```
BiPdI3
1.0
-4.463 1.310 2.627
-1.939 -4.904 -0.848
2.204 -1.662 4.573
I Bi Pd
3 1 1
Cartesian
-0.969 -2.452 -0.424
1.102 -0.831 2.286
-2.231 0.655 1.313
-2.099 -2.628 3.176
0.000 0.000 0.000
```

---

Computed, not measured: crystalline ScBiPt2I at its relaxed geometry at the GGA-PBEsol level of DFT.

Theoretical density   8.57 g/cm³
Raw formation energy   0.75 eV/atom
Magnetic moment   0.90 μB/cell

```
ScBiPt2I
1.0
-2.251 -1.613 4.190
-0.904 -4.428 -2.190
5.184 -2.047 1.998
I Sc Bi Pt
1 1 1 2
Cartesian
2.592 -1.023 0.999
1.014 -4.044 1.999
0.000 0.000 0.000
-0.452 -2.214 -1.095
-1.126 -0.806 2.095
```

---

Computed, not measured: crystalline ZnBi2PtI at its relaxed geometry at the GGA-PBEsol level of DFT.

Theoretical density   9.40 g/cm³
Raw formation energy   0.10 eV/atom
Magnetic moment   0.00 μB/cell

```
ZnBi2PtI
1.0
4.825 0.000 0.000
0.000 5.429 0.000
0.000 0.000 5.429
I Zn Bi Pt
1 1 2 1
Cartesian
2.412 2.715 2.715
2.412 0.000 0.000
0.000 0.000 2.715
0.000 2.715 0.000
0.000 0.000 0.000
```